(1)
! IrBr3 PBE optimized geometry; values from VASP
&SYSTEM
  ibrav = 0, nat = 8, ntyp = 2
/
ATOMIC_SPECIES
Br 79.90 Br.upf
Ir 192.22 Ir.upf
CELL_PARAMETERS angstrom
6.4736 -0.0044 -0.0118
-3.2323 5.6089 -0.0118
1.0466 1.8097 6.6078
ATOMIC_POSITIONS crystal
Br 0.0786 0.4330 0.2101
Ir 0.8333 0.1667 0.0000
Br 0.7870 0.7870 0.2101
Ir 0.1667 0.8333 0.0000
Br 0.5670 0.9214 0.7899
Br 0.4330 0.0786 0.2101
Br 0.2130 0.2130 0.7899
Br 0.9214 0.5670 0.7899
! energy above the lowest structure with this stoichiometry: 0.0 kJ/mol of atoms
! symmetry: No. 12
! formation energy (no corrections): -0.266 eV/atom
! final energy: -3.736 eV/atom

(2)
! IrBr3 PBE optimized geometry; values from VASP
&SYSTEM
  ibrav = 0, nat = 4, ntyp = 2
/
ATOMIC_SPECIES
Br 79.90 Br.upf
Ir 192.22 Ir.upf
CELL_PARAMETERS angstrom
7.2329 9.4550 3.2792
9.2602 8.0343 1.4711
7.2407 9.9984 0.2622
ATOMIC_POSITIONS crystal
Br 0.0647 0.0647 0.0647
Br 0.5000 0.5000 0.5000
Ir 0.0000 0.0000 0.0000
Br 0.9353 0.9353 0.9353
! energy above the lowest structure with this stoichiometry: 66.7 kJ/mol of atoms
! symmetry: No. 166
! formation energy (no corrections): 0.426 eV/atom
! final energy: -3.044 eV/atom

(3)
! IrBr3 PBE optimized geometry; values from VASP
&SYSTEM
  ibrav = 0, nat = 4, ntyp = 2
/
ATOMIC_SPECIES
Br 79.90 Br.upf
Ir 192.22 Ir.upf
CELL_PARAMETERS angstrom
-2.5899 1.3513 1.3742
-1.7061 -2.6781 -0.5820
2.7555 -3.6675 8.7995
ATOMIC_POSITIONS crystal
Br 0.0000 0.0000 0.5920
Br 0.0000 0.0000 0.9080
Br 0.5000 0.5000 0.2500
Ir 0.5000 0.5000 0.7500
! energy above the lowest structure with this stoichiometry: 96.1 kJ/mol of atoms
! symmetry: No. 123
! formation energy (no corrections): 0.730 eV/atom
! final energy: -2.740 eV/atom

(4)
! IrBr3 PBE optimized geometry; values from VASP
&SYSTEM
  ibrav = 0, nat = 4, ntyp = 2
/
ATOMIC_SPECIES
Br 79.90 Br.upf
Ir 192.22 Ir.upf
CELL_PARAMETERS angstrom
-1.1115 6.1257 -3.2563
-0.4904 3.9618 -5.7816
-4.9454 0.4882 -1.6349
ATOMIC_POSITIONS crystal
Br 0.6481 0.6481 0.8505
Ir 0.0000 0.0000 0.0000
Br 0.3519 0.3519 0.1495
Br 0.5000 0.5000 0.5000
! energy above the lowest structure with this stoichiometry: 57.0 kJ/mol of atoms
! symmetry: No. 12
! formation energy (no corrections): 0.325 eV/atom
! final energy: -3.145 eV/atom